Entry 1:
A geometry-optimized KSrNF2 structure, computed with GGA-PBEsol.

Structure (CIF):
```
data_KSrNF2
_chemical_formula_sum 'K1 Sr1 N1 F2'
_cell_length_a 4.679
_cell_length_b 4.679
_cell_length_c 5.057
_cell_angle_alpha 90.00
_cell_angle_beta 90.00
_cell_angle_gamma 90.00
_symmetry_space_group_name_H-M 'P 1'
_symmetry_Int_Tables_number 1
loop_
_symmetry_equiv_pos_as_xyz
'x,y,z'
loop_
_atom_site_label
_atom_site_fract_x
_atom_site_fract_y
_atom_site_fract_z
K1 0.000 0.000 0.000
Sr1 0.500 0.500 0.500
N1 0.500 0.500 0.000
F1 0.000 0.500 0.500
F2 0.500 0.000 0.500
```

Calculated values
Formation energy (no corrections) = -1655.0 meV per atom

Entry 2:
A geometry-optimized Cd2Cu structure, computed with GGA-PBEsol.

Structure (CIF):
```
data_Cd2Cu
_chemical_formula_sum 'Cd4 Cu2'
_cell_length_a 5.540
_cell_length_b 5.540
_cell_length_c 6.649
_cell_angle_alpha 108.29
_cell_angle_beta 108.29
_cell_angle_gamma 32.11
_symmetry_space_group_name_H-M 'P 1'
_symmetry_Int_Tables_number 1
loop_
_symmetry_equiv_pos_as_xyz
'x,y,z'
loop_
_atom_site_label
_atom_site_fract_x
_atom_site_fract_y
_atom_site_fract_z
Cd1 0.025 0.025 0.234
Cd2 0.324 0.324 0.372
Cd3 0.676 0.676 0.628
Cd4 0.975 0.975 0.766
Cu1 0.330 0.330 0.960
Cu2 0.670 0.670 0.040
```

Calculated values
Energy of formation = 0.035 eV/atom

Entry 3:
A geometry-optimized SiTe3Se structure, computed with GGA-PBEsol.

Structure (CIF):
```
data_SiTe3Se
_chemical_formula_sum 'Si1 Te3 Se1'
_cell_length_a 5.149
_cell_length_b 5.149
_cell_length_c 5.149
_cell_angle_alpha 90.00
_cell_angle_beta 90.00
_cell_angle_gamma 90.00
_symmetry_space_group_name_H-M 'P 1'
_symmetry_Int_Tables_number 1
loop_
_symmetry_equiv_pos_as_xyz
'x,y,z'
loop_
_atom_site_label
_atom_site_fract_x
_atom_site_fract_y
_atom_site_fract_z
Si1 0.000 0.000 0.000
Te1 0.000 0.000 0.500
Te2 0.000 0.500 0.000
Te3 0.500 0.000 0.000
Se1 0.500 0.500 0.500
```

Calculated values
Formation energy (no corrections) = 594.5 meV per atom

Entry 4:
A geometry-optimized BeGaIr2 structure, computed with GGA-PBEsol.

Structure (CIF):
```
data_BeGaIr2
_chemical_formula_sum 'Be1 Ga1 Ir2'
_cell_length_a 4.118
_cell_length_b 4.118
_cell_length_c 4.118
_cell_angle_alpha 60.00
_cell_angle_beta 60.00
_cell_angle_gamma 60.00
_symmetry_space_group_name_H-M 'P 1'
_symmetry_Int_Tables_number 1
loop_
_symmetry_equiv_pos_as_xyz
'x,y,z'
loop_
_atom_site_label
_atom_site_fract_x
_atom_site_fract_y
_atom_site_fract_z
Be1 0.000 0.000 0.000
Ga1 0.500 0.500 0.500
Ir1 0.250 0.250 0.250
Ir2 0.750 0.750 0.750
```

Calculated values
Energy of formation = -0.497 eV/atom

Entry 5:
A geometry-optimized Be3OsN structure, computed with GGA-PBEsol.

Structure (CIF):
```
data_Be3OsN
_chemical_formula_sum 'Be3 Os1 N1'
_cell_length_a 3.520
_cell_length_b 3.520
_cell_length_c 3.520
_cell_angle_alpha 90.00
_cell_angle_beta 90.00
_cell_angle_gamma 90.00
_symmetry_space_group_name_H-M 'P 1'
_symmetry_Int_Tables_number 1
loop_
_symmetry_equiv_pos_as_xyz
'x,y,z'
loop_
_atom_site_label
_atom_site_fract_x
_atom_site_fract_y
_atom_site_fract_z
Be1 0.000 0.000 0.500
Be2 0.000 0.500 0.000
Be3 0.500 0.000 0.000
Os1 0.500 0.500 0.500
N1 0.000 0.000 0.000
```

Calculated values
Formation energy (no corrections) = 103.0 meV per atom

Entry 6:
A geometry-optimized Cr2IrCl structure, computed with GGA-PBEsol.

Structure (CIF):
```
data_Cr2IrCl
_chemical_formula_sum 'Cr2 Ir1 Cl1'
_cell_length_a 4.359
_cell_length_b 4.359
_cell_length_c 2.689
_cell_angle_alpha 90.00
_cell_angle_beta 90.00
_cell_angle_gamma 90.00
_symmetry_space_group_name_H-M 'P 1'
_symmetry_Int_Tables_number 1
loop_
_symmetry_equiv_pos_as_xyz
'x,y,z'
loop_
_atom_site_label
_atom_site_fract_x
_atom_site_fract_y
_atom_site_fract_z
Cr1 0.000 0.500 0.000
Cr2 0.500 0.000 0.000
Ir1 0.000 0.000 0.500
Cl1 0.500 0.500 0.500
```

Calculated values
Formation energy (no corrections) = 475.6 meV per atom
Energy above the most stable polymorph in this dataset = 0.0 meV per atom

| no. | calculated volume (A^3/atom) |
| --- | --- |
| 1 | 22.1 |
| 2 | 17.1 |
| 3 | 27.3 |
| 4 | 12.3 |
| 5 | 8.7 |
| 6 | 12.8 |